(1)
First-principles (PBE-GGA) data for an optimized crystal structure of TlSbS2, as listed in Alexandria via LeMat-Bulk.

* formation energy from raw total energies: -0.8 eV/f.u.
* symmetry: I4_1/amd
* total energy: -3.88 eV per atom

abc: 7.2551 7.2551 7.2551
angles: 132.37 132.37 69.65
Element x y z (fractional)
Tl1 0.3750 0.6250 0.7500
Tl2 0.6250 0.3750 0.2500
Sb1 0.1250 0.8750 0.2500
Sb2 0.8750 0.1250 0.7500
S1 0.1039 0.3539 0.7500
S2 0.3539 0.1039 0.2500
S3 0.6461 0.8961 0.7500
S4 0.8961 0.6461 0.2500

***

(2)
First-principles (PBE-GGA) data for an optimized crystal structure of Tb6Er3Th2Sc, as listed in Alexandria via LeMat-Bulk.

* formation energy from the elements: 0.032 eV/atom
* symmetry: C2/m
* total energy: -5.19 eV per atom

abc: 6.0967 6.0967 11.7360
angles: 94.98 94.98 119.98
Element x y z (fractional)
Tb1 0.0823 0.4147 0.2474
Tb2 0.2508 0.2508 0.7523
Tb3 0.4147 0.0823 0.2474
Tb4 0.5853 0.9177 0.7526
Tb5 0.7492 0.7492 0.2477
Tb6 0.9177 0.5853 0.7526
Er1 0.1665 0.8335 0.5000
Er2 0.5000 0.5000 0.5000
Er3 0.8335 0.1665 0.5000
Th1 0.3336 0.6664 0.0000
Th2 0.6664 0.3336 0.0000
Sc1 0.0000 0.0000 0.0000

***

Q: Which value of total energy does entry 2 give?
A: -5.19 eV per atom

***

Q: What is the formula in the first record?
A: TlSbS2